1.
First-principles (PBE-GGA) data for a relaxed structure of La2MgI2, as listed in Alexandria via LeMat-Bulk.

Lattice parameters (Å, degrees): 5.138 5.138 14.329 90.00 90.00 90.00
Space group I4/mmm (No. 139)
Unique sites:
1 La 0.000 0.000 0.103 [4 per cell]
2 Mg 0.000 0.000 0.500 [2 per cell]
3 I 0.000 0.500 0.250 [4 per cell]

energy above the most stable polymorph in this dataset	0.130	eV per atom

2.
First-principles (PBE-GGA) data for a relaxed structure of Li2Ce2TmSn2, as listed in Alexandria via LeMat-Bulk.

Lattice parameters (Å, degrees): 4.6226 4.6226 26.8129 90.00 90.00 120.00
Space group R-3m (No. 166, hexagonal axes)
Unique sites:
1 Li 0.0000 0.0000 0.0943 [6 per cell]
2 Ce 0.0000 0.0000 0.3578 [6 per cell]
3 Tm 0.0000 0.0000 0.5000 [3 per cell]
4 Sn 0.0000 0.0000 0.2319 [6 per cell]

energy relative to the elements	-0.406	eV/atom